Entry 1:
DFT (PBEsol) results for crystalline Li2CeAs2 at its relaxed geometry.

abc: 4.2283 4.2283 6.7536
angles: 90.00 90.00 120.00
Element x y z (fractional)
As 0.3333 0.6667 0.2305
As 0.6667 0.3333 0.7695
Ce 0.0000 0.0000 0.0000
Li 0.3333 0.6667 0.6244
Li 0.6667 0.3333 0.3756

Output
- E_form: -91.7 kJ/mol of atoms

=====

Entry 2:
DFT (PBEsol) results for crystalline ZrHgTeN2 at its relaxed geometry.

abc: 4.1988 4.1988 5.5821
angles: 90.00 90.00 90.00
Element x y z (fractional)
Te 0.0000 0.0000 0.5000
Hg 0.0000 0.0000 0.0000
Zr 0.5000 0.5000 0.5000
N 0.0000 0.5000 0.0000
N 0.5000 0.0000 0.0000

Output
- E_form (uncorrected): 1.55 eV per atom

=====

Entry 3:
DFT (PBEsol) results for crystalline ZnSbF6 at its relaxed geometry.

abc: 5.4107 5.4107 5.6308
angles: 61.28 61.28 60.00
Element x y z (fractional)
Sb 0.0000 0.0000 0.0000
Zn 0.5000 0.5000 0.5000
F 0.2508 0.8503 0.2512
F 0.6477 0.2508 0.2512
F 0.1497 0.3523 0.7488
F 0.3523 0.7492 0.7488
F 0.7492 0.1497 0.7488
F 0.8503 0.6477 0.2512

Output
- E_form (uncorrected): -2.25 eV per atom

=====

Entry 4:
DFT (PBEsol) results for crystalline Ba2ZrSc at its relaxed geometry.

abc: 5.7188 5.7188 5.7188
angles: 60.00 60.00 60.00
Element x y z (fractional)
Ba 0.2500 0.2500 0.2500
Ba 0.7500 0.7500 0.7500
Sc 0.0000 0.0000 0.0000
Zr 0.5000 0.5000 0.5000

Output
- Energy relative to the lowest polymorph listed for this composition: 6.9 kJ/mol of atoms
- E_form: 66.1 kJ/mol of atoms

=====

The following total moment values (in μB per formula unit) correspond, in order, to the records above: 0.0 1.2 0.0 0.0.